## a
## RbCaBi3 (PBE)

Data for a relaxed RbCaBi3 crystal. Values from VASP.

```
&SYSTEM
  ibrav = 0, nat = 5, ntyp = 3
/
ATOMIC_SPECIES
Ca 40.08 Ca.upf
Bi 208.98 Bi.upf
Rb 85.47 Rb.upf
CELL_PARAMETERS angstrom
-5.5116 -0.3672 -2.5139
-0.7072 -5.5461 2.3606
-2.4402 2.4368 4.9940
ATOMIC_POSITIONS crystal
Ca 0.5000 0.5000 0.5000
Bi 0.0000 0.5000 0.0000
Bi 0.0000 0.0000 0.5000
Bi 0.5000 0.0000 0.0000
Rb 0.0000 0.0000 0.0000
```

## b
## RbCaBi3 (PBE)

Data for a relaxed RbCaBi3 crystal. Values from VASP.

```
&SYSTEM
  ibrav = 0, nat = 5, ntyp = 3
/
ATOMIC_SPECIES
Ca 40.08 Ca.upf
Bi 208.98 Bi.upf
Rb 85.47 Rb.upf
CELL_PARAMETERS angstrom
5.9897 0.0000 0.0000
0.0000 5.9897 0.0000
0.0000 0.0000 5.9897
ATOMIC_POSITIONS crystal
Ca 0.0000 0.0000 0.0000
Bi 0.0000 0.5000 0.0000
Bi 0.0000 0.0000 0.5000
Bi 0.5000 0.0000 0.0000
Rb 0.5000 0.5000 0.5000
```

Pick the most stable structure from those above. Pick: b